## CrHgClO4 (GGA+U)

Data for a relaxed structure of CrHgClO4.

## Properties
Electronic total energy (eV per atom): -4.827
Size of the total moment (μB/f.u.): 1.0
Volume (Å³ per atom): 20.3

abc: 6.076 6.076 8.571
angles: 107.82 107.82 78.20
Fractional coordinates of all 14 atoms:
Cr  0.110  0.110  0.279
Cr  0.890  0.890  0.721
Hg  0.291  0.291  0.800
Hg  0.709  0.709  0.200
Cl  0.458  0.458  0.196
Cl  0.542  0.542  0.804
O  0.024  0.366  0.230
O  0.084  0.084  0.839
O  0.144  0.144  0.480
O  0.366  0.024  0.230
O  0.634  0.976  0.770
O  0.856  0.856  0.520
O  0.916  0.916  0.161
O  0.976  0.634  0.770